DFT (PBE) results for crystalline Tb3Al2Ag at its relaxed geometry.

Results
Final energy, eV/atom: -4.404
Formation enthalpy at 0 K, eV per atom: -0.37
N(E_F), states/eV per atom: 0.679

```
Tb3Al2Ag
1.0
3.4981 0.0000 0.0000
0.0000 3.4981 0.0000
0.0000 0.0000 11.7351
Tb Al Ag
3 2 1
Cartesian
0.0000 0.0000 0.0000 Tb
0.0000 0.0000 7.8325 Tb
0.0000 0.0000 3.9026 Tb
1.7490 1.7490 9.7490 Al
1.7490 1.7490 1.9861 Al
1.7490 1.7490 5.8676 Ag
```

DFT (PBE) results for crystalline Tb2Al5Ag12 at its relaxed geometry.

Results
Final energy, eV/atom: -3.439
Formation enthalpy at 0 K, eV per atom: -0.17
N(E_F), states/eV per atom: 0.377

```
Tb2Al5Ag12
1.0
7.1342 0.1813 0.7970
0.7327 7.0987 0.7970
0.1959 0.1813 7.1759
Tb Al Ag
2 5 12
Cartesian
5.3774 4.9762 5.8489 Tb
2.6854 2.4851 2.9209 Tb
0.0980 0.0907 3.5879 Al
0.3664 3.5494 0.3985 Al
3.5671 0.0907 0.3985 Al
7.3005 6.7559 7.9407 Al
0.7623 0.7054 0.8292 Al
2.6634 5.0125 0.7970 Ag
5.0416 0.1813 2.7208 Ag
0.3578 2.2676 5.2520 Ag
5.2035 2.2676 0.7970 Ag
2.2885 0.1813 5.2520 Ag
0.5708 5.0125 2.7208 Ag
2.8701 2.6560 6.7123 Ag
3.1470 6.2232 3.4229 Ag
6.4480 2.6560 3.4229 Ag
4.9158 1.2382 5.3469 Ag
5.1927 4.8053 2.0575 Ag
1.6148 4.8053 5.3469 Ag
```

DFT (PBE) results for crystalline Tb2Al2Ag3 at its relaxed geometry.

Results
Energy above the most stable polymorph in this dataset, meV per atom: 40
Final energy, eV/atom: -3.865
Formation enthalpy at 0 K, eV per atom: -0.25
N(E_F), states/eV per atom: 0.513

```
Tb2Al2Ag3
1.0
3.4624 0.0000 0.0000
0.0000 4.3785 0.0000
0.0000 -2.1893 9.8706
Tb Al Ag
2 2 3
Cartesian
0.0000 2.1893 6.8523 Tb
0.0000 0.0000 3.0183 Tb
1.7312 2.1893 4.2414 Al
1.7312 0.0000 5.6292 Al
1.7312 2.1893 1.3902 Ag
1.7312 0.0000 8.4803 Ag
0.0000 0.0000 0.0000 Ag
```